[1]
# PuZrTa (PBE, optimized geometry)
data_PuZrTa
_cell_length_a 6.4579
_cell_length_b 6.4579
_cell_length_c 6.4579
_cell_angle_alpha 90.00
_cell_angle_beta 90.00
_cell_angle_gamma 90.00
_space_group_name_H-M_alt 'F -4 3 m'
_space_group_IT_number 216
_space_group_name_Hall 'F -4 2 3'
loop_
_atom_site_label
_atom_site_type_symbol
_atom_site_fract_x
_atom_site_fract_y
_atom_site_fract_z
_atom_site_occupancy
Pu1 Pu 0.0000 0.0000 0.0000 1
Zr1 Zr 0.2500 0.2500 0.2500 1
Ta1 Ta 0.2500 0.2500 0.7500 1
# electronic total energy = -10.350 eV/atom
# ΔH_f (0 K) = 1.16 eV/atom
# size of the total moment = 25.0 μB/cell



[2]
# LuGaGe2 (PBE, optimized geometry)
data_LuGaGe2
_cell_length_a 6.9252
_cell_length_b 6.9252
_cell_length_c 6.9252
_cell_angle_alpha 90.00
_cell_angle_beta 90.00
_cell_angle_gamma 90.00
_space_group_name_H-M_alt 'F -4 3 m'
_space_group_IT_number 216
_space_group_name_Hall 'F -4 2 3'
loop_
_atom_site_label
_atom_site_type_symbol
_atom_site_fract_x
_atom_site_fract_y
_atom_site_fract_z
_atom_site_occupancy
Lu1 Lu 0.0000 0.0000 0.0000 1
Ga1 Ga 0.2500 0.2500 0.7500 1
Ge1 Ge 0.0000 0.0000 0.5000 1
Ge2 Ge 0.2500 0.2500 0.2500 1
# electronic total energy = -4.299 eV/atom
# size of the total moment = 0.0 μB/cell



[3]
# KGeAu3O4 (PBE, optimized geometry)
data_KGeAu3O4
_cell_length_a 5.5180
_cell_length_b 5.5180
_cell_length_c 5.5180
_cell_angle_alpha 90.00
_cell_angle_beta 90.00
_cell_angle_gamma 90.00
_space_group_name_H-M_alt 'P -4 3 m'
_space_group_IT_number 215
_space_group_name_Hall 'P -4 2 3'
loop_
_atom_site_label
_atom_site_type_symbol
_atom_site_fract_x
_atom_site_fract_y
_atom_site_fract_z
_atom_site_occupancy
K1 K 0.0000 0.0000 0.0000 1
Ge1 Ge 0.5000 0.5000 0.5000 1
Au1 Au 0.0000 0.5000 0.5000 1
O1 O 0.3091 0.3091 0.3091 1
# electronic total energy = -4.177 eV/atom